This record from OQMD via LeMat-Bulk describes a relaxed LaSi2Ag4 crystal. The functional is PBE.

Unit cell a=4.3339 b=14.3021 c=4.3279 alpha=90.00 beta=90.00 gamma=90.00
With the nearest neighbours (Å) after each atom.
Space group Cmmm (No. 65)
Unique sites:
La 0.0000 0.0000 0.0000 [2 per cell]  8 Si 3.28, 8 Ag 3.37
Si 0.0000 0.4182 0.5000 [4 per cell]  1 Si 2.34, 4 Ag 2.58-2.59
Ag 0.0000 0.1805 0.5000 [4 per cell]  2 Si 2.59
Ag 0.0000 0.3195 0.0000 [4 per cell]  2 Si 2.58

Final energy (eV/atom): -4.1797

---

This record from OQMD via LeMat-Bulk describes a relaxed Li4CdGe2Ir crystal. The functional is PBE.

Unit cell a=4.3509 b=4.3509 c=6.2922 alpha=90.00 beta=90.00 gamma=90.00
With the nearest neighbours (Å) after each atom.
Space group P-4m2 (No. 115)
Unique sites:
Li 0.0000 0.0000 0.0000 [1 per cell]  4 Li 2.74, 4 Ge 2.83
Li 0.0000 0.5000 0.7355 [2 per cell]  4 Li 2.63-2.74, 2 Ir 2.63, 2 Cd 2.74, 1 Ge 2.82
Li 0.5000 0.5000 0.5000 [1 per cell]  4 Ge 2.55, 4 Li 2.63
Cd 0.5000 0.5000 0.0000 [1 per cell]  4 Li 2.74, 4 Ge 2.83
Ge 0.0000 0.5000 0.2881 [2 per cell]  5 Li 2.55-2.83, 2 Ir 2.55, 2 Cd 2.83
Ir 0.0000 0.0000 0.5000 [1 per cell]  4 Ge 2.55, 4 Li 2.63

Final energy (eV/atom): -3.6869

---

This record from OQMD via LeMat-Bulk describes a relaxed Cu2Ag3 crystal. The functional is PBE.

Unit cell a=8.8949 b=3.9546 c=8.8608 alpha=90.00 beta=90.22 gamma=90.00
With the nearest neighbours (Å) after each atom.
Space group Cm (No. 8)
Unique sites:
Cu 0.0000 0.0000 0.0000 [2 per cell]  8 Ag 2.76-2.80, 4 Cu 2.78-2.81
Cu 0.0030 0.5000 0.5079 [2 per cell]  2 Cu 2.74, 10 Ag 2.77-2.89
Cu 0.0963 0.0000 0.7014 [2 per cell]  3 Cu 2.74-2.78, 9 Ag 2.76-2.90
Cu 0.3006 0.0000 0.0969 [2 per cell]  9 Ag 2.75-2.90, 3 Cu 2.79-2.81
Ag 0.0958 0.5000 0.1952 [2 per cell]  6 Ag 2.74-2.87, 6 Cu 2.76-2.89
Ag 0.1972 0.0000 0.4066 [2 per cell]  5 Cu 2.77-2.90, 7 Ag 2.79-2.87
Ag 0.2016 0.5000 0.9055 [2 per cell]  5 Ag 2.74-2.83, 7 Cu 2.75-2.84
Ag 0.3010 0.5000 0.6033 [2 per cell]  6 Cu 2.76-2.83, 6 Ag 2.79-2.87
Ag 0.3987 0.5000 0.2950 [2 per cell]  5 Cu 2.77-2.88, 7 Ag 2.79-2.87
Ag 0.4059 0.0000 0.8042 [2 per cell]  7 Cu 2.76-2.90, 5 Ag 2.78-2.83

Energy above the lowest structure with this stoichiometry (meV/atom): 63
Energy of formation from the pure elements (kJ/mol of formula units): 46

---

This record from OQMD via LeMat-Bulk describes a relaxed AlCu2SeS2 crystal. The functional is PBE.

Unit cell a=6.6061 b=11.4075 c=6.5025 alpha=90.00 beta=109.09 gamma=90.00
With the nearest neighbours (Å) after each atom.
Space group Cc (No. 9)
Unique sites:
Al 0.0000 0.0844 0.0000 [4 per cell]  3 S 2.26-2.31, 1 Se 2.39
Cu 0.0072 0.4084 0.0054 [4 per cell]  2 S 2.26-2.33, 2 Se 2.38-2.39
Cu 0.0139 0.2417 0.4893 [4 per cell]  3 S 2.27-2.33, 1 Se 2.41
Se 0.3833 0.0855 0.1187 [4 per cell]  3 Cu 2.38-2.41, 1 Al 2.39
S 0.3787 0.2532 0.6207 [4 per cell]  3 Cu 2.26-2.28, 1 Al 2.26
S 0.3792 0.4182 0.1247 [4 per cell]  2 Al 2.30-2.31, 2 Cu 2.33

Energy above the lowest structure with this stoichiometry (meV/atom): 0

---

This record from OQMD via LeMat-Bulk describes a relaxed Sc2Ta4In3C3 crystal. The functional is PBE.

Unit cell a=9.7313 b=5.6172 c=14.8272 alpha=90.00 beta=102.76 gamma=90.00
With the nearest neighbours (Å) after each atom.
Space group C2/c (No. 15)
Unique sites:
Sc 0.0486 0.0798 0.4100 [8 per cell]  3 C 2.29-2.32
Ta 0.1096 0.4074 0.5780 [8 per cell]  3 C 2.16-2.20
Ta 0.2282 0.4213 0.9221 [8 per cell]  3 C 2.16-2.19
In 0.0000 0.4379 0.2500 [4 per cell]  2 Sc 3.07, 4 Ta 3.09-3.10, 4 In 3.15
In 0.1775 0.0927 0.7523 [8 per cell]  2 Sc 3.04-3.05, 4 Ta 3.07-3.08, 4 In 3.15
C 0.0858 0.2570 0.0000 [8 per cell]  4 Ta 2.17-2.20, 2 Sc 2.29-2.30
C 0.2500 0.2500 0.5000 [4 per cell]  4 Ta 2.16, 2 Sc 2.32

Final energy (eV/atom): -8.5158

---

This record from OQMD via LeMat-Bulk describes a relaxed ErPuNb crystal. The functional is PBE.

Unit cell a=6.7180 b=6.7180 c=6.7180 alpha=90.00 beta=90.00 gamma=90.00
With the nearest neighbours (Å) after each atom.
Space group F-43m (No. 216)
Unique sites:
Er 0.0000 0.0000 0.0000 [4 per cell]  4 Nb 2.91
Pu 0.0000 0.0000 0.5000 [4 per cell]  4 Nb 2.91
Nb 0.2500 0.2500 0.7500 [4 per cell]  4 Er 2.91, 4 Pu 2.91

Energy above the lowest structure with this stoichiometry (meV/atom): 0
Energy of formation from the pure elements (kJ/mol of formula units): 222